Record 1
The following is a DFT calculation (GGA-PBEsol) of Cs3CCl after structural relaxation.

Structure (POSCAR):
```
Cs3CCl
1.0
6.4612 0.0000 0.0000
0.0000 6.4612 0.0000
0.0000 0.0000 6.4612
Cs C Cl
3 1 1
Direct
0.0000 0.0000 0.5000
0.0000 0.5000 0.0000
0.5000 0.0000 0.0000
0.5000 0.5000 0.5000
0.0000 0.0000 0.0000
```

Results
**Energy relative to the elements, uncorrected**: 413 meV per atom
**Final energy**: -12.414 eV/cell
**Magnetization**: 2.159 Bohr magnetons per cell
**N(E_F)**: 1.67 states/eV per cell

Record 2
The following is a DFT calculation (GGA-PBEsol) of POs2Se after structural relaxation.

Structure (POSCAR):
```
POs2Se
1.0
-1.4904 1.5069 6.7444
1.4904 -1.5069 6.7444
1.4904 1.5069 -6.7444
P Os Se
1 2 1
Direct
0.0000 0.0000 0.0000
0.1347 0.6347 0.5000
0.4249 0.4249 0.0000
0.7509 0.2509 0.5000
```

Results
**Energy relative to the elements, uncorrected**: 280 meV per atom
**Final energy**: -32.952 eV/cell
**Magnetization**: 0.000 Bohr magnetons per cell
**N(E_F)**: 2.31 states/eV per cell